VASP calculation (PBE-GGA) on a relaxed structure of HfSn2P.

Cell and atoms, written as POSCAR:
```
HfSn2P
1.0
7.979 0.000 0.000
0.000 7.979 0.000
3.990 3.990 2.845
Sn Hf P
4 2 2
Direct
0.148 0.625 0.250
0.602 0.125 0.250
0.375 0.398 0.750
0.875 0.852 0.750
0.750 0.250 0.500
0.000 0.000 0.000
0.250 0.750 0.500
0.500 0.500 0.000
```

## Properties
* symmetry: I-42d (122)
* magnetic moment: 0.00 μB/f.u.
* formation enthalpy at 0 K: 0.17 eV/atom

***

VASP calculation (PBE-GGA) on a relaxed structure of TbSm4Rh4.

Cell and atoms, written as POSCAR:
```
TbSm4Rh4
1.0
-0.160 5.725 -0.127
-6.866 -0.066 5.633
5.628 0.309 6.864
Rh Sm Tb
8 8 2
Direct
0.401 0.622 0.774
0.599 0.226 0.622
0.901 0.726 0.122
0.099 0.122 0.274
0.401 0.378 0.226
0.099 0.878 0.726
0.901 0.274 0.878
0.599 0.774 0.378
0.907 0.584 0.813
0.407 0.687 0.084
0.093 0.187 0.584
0.593 0.916 0.687
0.907 0.416 0.187
0.093 0.813 0.416
0.407 0.313 0.916
0.593 0.084 0.313
0.500 0.500 0.500
0.000 0.000 0.000
```

## Properties
* symmetry: P4_2/n (86)
* magnetic moment: 0.00 μB/f.u.
* formation enthalpy at 0 K: -0.61 eV/atom